Compound: ScInRu2I
Source: Alexandria
Functional: PBEsol
Structure: optimized geometry

Unit cell a=4.720 b=4.720 c=5.426 alpha=90.00 beta=90.00 gamma=90.00
Space group P4/mmm (No. 123)
Asymmetric unit:
Sc  0.000  0.000  0.000
In  0.000  0.000  0.500
Ru  0.000  0.500  0.000
I  0.500  0.500  0.500

Computed properties:
V, Å³/cell: 121
Raw formation energy, eV per atom: 1.3013
Raw total energy, eV/atom: -5.039
Total moment, μB per formula unit: 2.38

=====

Compound: InNiAs2
Source: Alexandria
Functional: PBEsol
Structure: optimized geometry

Unit cell a=6.530 b=6.530 c=6.530 alpha=90.00 beta=90.00 gamma=90.00
Space group F-43m (No. 216)
Asymmetric unit:
In  0.000  0.000  0.000
Ni  0.250  0.250  0.250
As  0.000  0.000  0.500
As  0.250  0.250  0.750

Computed properties:
V, Å³/cell: 278
Raw total energy, eV/atom: -4.491
Total moment, μB per formula unit: 0.00

=====

Compound: TcRh
Source: Alexandria
Functional: PBEsol
Structure: optimized geometry

Unit cell a=9.797 b=2.687 c=6.383 alpha=90.00 beta=103.90 gamma=90.00
Space group Cm (No. 8)
Asymmetric unit:
Tc  0.000  0.000  0.000
Tc  0.057  0.000  0.614
Tc  0.388  0.000  0.280
Rh  0.164  0.500  0.333
Rh  0.222  0.500  0.947
Rh  0.338  0.000  0.670

Computed properties:
V, Å³/cell: 163
Raw total energy, eV/atom: -9.856
Total moment, μB per formula unit: 0.00

=====

Compound: H2AuSe
Source: Alexandria
Functional: PBEsol
Structure: optimized geometry

Unit cell a=5.105 b=5.105 c=7.548 alpha=90.00 beta=90.00 gamma=90.00
Space group I-42d (No. 122)
Asymmetric unit:
H  0.147  0.750  0.125
Au  0.000  0.000  0.000
Se  0.000  0.000  0.500

Computed properties:
V, Å³/cell: 197
Raw total energy, eV/atom: -3.058
Total moment, μB per formula unit: 0.00

=====

Compound: LiMgCd2
Source: Alexandria
Functional: PBEsol
Structure: optimized geometry

Unit cell a=4.729 b=4.729 c=6.740 alpha=90.00 beta=90.00 gamma=90.00
Space group I-4m2 (No. 119)
Asymmetric unit:
Li  0.000  0.000  0.000
Mg  0.000  0.500  0.250
Cd  0.000  0.000  0.500
Cd  0.000  0.500  0.750

Computed properties:
V, Å³/cell: 151
Raw total energy, eV/atom: -1.731
Total moment, μB per formula unit: 0.00

=====

Compound: LiMg30CrO32
Source: Alexandria
Functional: PBEsol
Structure: optimized geometry

Unit cell a=8.404 b=8.404 c=8.419 alpha=90.00 beta=90.00 gamma=90.00
Space group P4/mmm (No. 123)
Asymmetric unit:
Li  0.000  0.000  0.000
Mg  0.000  0.248  0.245
Mg  0.000  0.500  0.000
Mg  0.000  0.500  0.500
Mg  0.247  0.247  0.000
Mg  0.250  0.250  0.500
Mg  0.250  0.500  0.249
Mg  0.500  0.500  0.000
Mg  0.500  0.500  0.500
Cr  0.000  0.000  0.500
O  0.000  0.000  0.264
O  0.000  0.242  0.500
O  0.000  0.254  0.000
O  0.000  0.500  0.253
O  0.249  0.500  0.500
O  0.250  0.250  0.251
O  0.251  0.500  0.000
O  0.500  0.500  0.251

Computed properties:
V, Å³/cell: 595
Raw formation energy, eV per atom: -2.6977
Raw total energy, eV/atom: -6.318
Total moment, μB per formula unit: 3.00

=====

Compound: Li4Cr3Cu3W2O16
Source: Alexandria
Functional: PBEsol
Structure: optimized geometry

Unit cell a=10.220 b=5.770 c=9.603 alpha=90.00 beta=92.90 gamma=90.00
Space group Cm (No. 8)
Asymmetric unit:
Li  0.000  0.000  0.000
Li  0.010  0.000  0.508
Li  0.152  0.500  0.926
Li  0.335  0.000  0.423
Cr  0.090  0.252  0.234
Cr  0.174  0.000  0.741
Cu  0.332  0.500  0.227
Cu  0.419  0.245  0.724
W  0.175  0.500  0.506
W  0.332  0.000  0.005
O  0.008  0.000  0.808
O  0.010  0.000  0.318
O  0.024  0.500  0.357
O  0.107  0.253  0.603
O  0.152  0.500  0.129
O  0.169  0.000  0.123
O  0.236  0.273  0.359
O  0.237  0.214  0.880
O  0.322  0.000  0.638
O  0.341  0.500  0.588
O  0.419  0.242  0.108
O  0.467  0.000  0.875

Computed properties:
V, Å³/cell: 566
Raw formation energy, eV per atom: -1.7423
Raw total energy, eV/atom: -7.571
Total moment, μB per formula unit: 4.97

=====

Compound: Ca5La
Source: Alexandria
Functional: PBEsol
Structure: optimized geometry

Unit cell a=6.246 b=3.774 c=19.963 alpha=90.00 beta=90.00 gamma=90.00
Space group Amm2 (No. 38)
Asymmetric unit:
Ca  0.000  0.000  0.000
Ca  0.000  0.000  0.330
Ca  0.500  0.000  0.221
Ca  0.500  0.000  0.558
Ca  0.500  0.000  0.888
La  0.000  0.000  0.665

Computed properties:
V, Å³/cell: 471
Raw total energy, eV/atom: -2.612
Total moment, μB per formula unit: 0.00

=====

Compound: Li2Hg2Sb
Source: Alexandria
Functional: PBEsol
Structure: optimized geometry

Unit cell a=7.959 b=7.959 c=3.150 alpha=90.00 beta=90.00 gamma=90.00
Space group P4/mbm (No. 127)
Asymmetric unit:
Li  0.165  0.335  0.000
Hg  0.132  0.632  0.500
Sb  0.000  0.000  0.500

Computed properties:
V, Å³/cell: 200
Raw formation energy, eV per atom: -0.3286
Raw total energy, eV/atom: -2.254
Total moment, μB per formula unit: 0.00

=====

Compound: NaAsIrBr2
Source: Alexandria
Functional: PBEsol
Structure: optimized geometry

Unit cell a=5.383 b=5.383 c=4.552 alpha=90.00 beta=90.00 gamma=90.00
Space group P4/mmm (No. 123)
Asymmetric unit:
Na  0.000  0.000  0.000
As  0.500  0.500  0.000
Ir  0.500  0.500  0.500
Br  0.000  0.500  0.500

Computed properties:
V, Å³/cell: 132
Raw formation energy, eV per atom: -0.1691
Raw total energy, eV/atom: -4.183
Total moment, μB per formula unit: 0.00

=====

Repeat the fifth record exactly.
Compound: LiMgCd2
Source: Alexandria
Functional: PBEsol
Structure: optimized geometry

Unit cell a=4.729 b=4.729 c=6.740 alpha=90.00 beta=90.00 gamma=90.00
Space group I-4m2 (No. 119)
Asymmetric unit:
Li  0.000  0.000  0.000
Mg  0.000  0.500  0.250
Cd  0.000  0.000  0.500
Cd  0.000  0.500  0.750

Computed properties:
V, Å³/cell: 151
Raw total energy, eV/atom: -1.731
Total moment, μB per formula unit: 0.00